# 1
Material: Pr3Nd2YAs6
Method: DFT, PBE-GGA
State: relaxed

energy of formation = -1.508 eV/atom

a b c (Å): 18.5938 4.2696 8.5314
angles (deg): 90.00 103.27 90.00
Last column: nearest neighbours and their distance in Å.
Space group C2/m (No. 12)
Symmetry-distinct sites (fractional):
Pr: 0.0000 0.0000 0.0000 x2  6 As 3.03-3.06
Pr: 0.1670 0.5000 0.3340 x4  6 As 3.02-3.06
Nd: 0.1658 0.5000 0.8322 x4  6 As 3.00-3.02
Y: 0.0000 0.0000 0.5000 x2  6 As 2.97
As: 0.0000 0.5000 0.2573 x4  2 Y 2.97, 1 Nd 3.00, 3 Pr 3.02-3.06
As: 0.1639 0.0000 0.5832 x4  1 Y 2.97, 2 Nd 3.01, 3 Pr 3.02-3.06
As: 0.1672 0.0000 0.0822 x4  3 Nd 3.01-3.02, 3 Pr 3.03

=====

# 2
Material: PrNd3Y2As6
Method: DFT, PBE-GGA
State: relaxed

energy of formation = -1.517 eV/atom

a b c (Å): 7.3288 12.6922 7.3272
angles (deg): 90.00 109.47 90.00
Last column: nearest neighbours and their distance in Å.
Space group C2/m (No. 12)
Symmetry-distinct sites (fractional):
Pr: 0.0000 0.0000 0.0000 x2  6 As 3.00-3.01
Nd: 0.0000 0.1654 0.5000 x4  6 As 2.99-3.03
Nd: 0.0000 0.5000 0.5000 x2  6 As 2.98-3.03
Y: 0.0000 0.3329 0.0000 x4  6 As 2.95-2.96
As: 0.2424 0.5000 0.2442 x4  2 Y 2.96, 3 Nd 2.98-3.02, 1 Pr 3.00
As: 0.2487 0.3305 0.7546 x8  2 Y 2.95-2.96, 3 Nd 2.99-3.03, 1 Pr 3.01

=====

# 3
Material: Pr2Nd3YAs6
Method: DFT, PBE-GGA
State: relaxed

energy of formation = -1.509 eV/atom

a b c (Å): 18.5697 4.2638 8.5205
angles (deg): 90.00 103.29 90.00
Last column: nearest neighbours and their distance in Å.
Space group C2/m (No. 12)
Symmetry-distinct sites (fractional):
Pr: 0.1656 0.0000 0.3319 x4  6 As 3.01-3.04
Nd: 0.0000 0.5000 0.5000 x2  6 As 3.00-3.05
Nd: 0.1671 0.0000 0.8341 x4  6 As 3.00-3.05
Y: 0.0000 0.5000 0.0000 x2  6 As 2.97-2.98
As: 0.0010 0.0000 0.7565 x4  2 Y 2.98, 3 Nd 3.00-3.05, 1 Pr 3.01
As: 0.1643 0.5000 0.0804 x4  1 Y 2.97, 3 Nd 3.00-3.05, 2 Pr 3.02
As: 0.1663 0.5000 0.5845 x4  3 Nd 3.00-3.01, 3 Pr 3.03-3.04

=====

# 4
Material: PrNd2ZrAs4
Method: DFT, PBE-GGA
State: relaxed

energy of formation = -1.385 eV/atom

a b c (Å): 7.2220 4.1694 7.2269
angles (deg): 90.00 109.25 90.00
Last column: nearest neighbours and their distance in Å.
Space group P2/m (No. 10)
Symmetry-distinct sites (fractional):
Pr: 0.0000 0.0000 0.0000 x1  6 As 2.96
Nd: 0.5000 0.0000 0.5000 x1  6 As 2.94-2.95
Nd: 0.5000 0.5000 0.0000 x1  6 As 3.06
Zr: 0.0000 0.5000 0.5000 x1  6 As 2.83-2.85
As: 0.2334 0.0000 0.7320 x2  2 Zr 2.85, 3 Nd 2.94-3.06, 1 Pr 2.96
As: 0.2419 0.5000 0.2610 x2  1 Zr 2.83, 3 Nd 2.95-3.06, 2 Pr 2.96

=====

# 5
Material: Pr2NdZrAs4
Method: DFT, PBE-GGA
State: relaxed

energy of formation = -1.386 eV/atom

a b c (Å): 7.2365 4.1761 7.2415
angles (deg): 90.00 109.24 90.00
Last column: nearest neighbours and their distance in Å.
Space group P2/m (No. 10)
Symmetry-distinct sites (fractional):
Pr: 0.0000 0.0000 0.0000 x1  6 As 3.07
Pr: 0.5000 0.5000 0.0000 x1  6 As 2.96-2.97
Nd: 0.0000 0.5000 0.5000 x1  6 As 2.95
Zr: 0.5000 0.0000 0.5000 x1  6 As 2.83-2.85
As: 0.2589 0.0000 0.7383 x2  1 Zr 2.83, 2 Nd 2.95, 3 Pr 2.97-3.07
As: 0.2680 0.5000 0.2694 x2  2 Zr 2.85, 1 Nd 2.95, 3 Pr 2.96-3.07

=====

# 6
Material: NdAsPt2
Method: DFT, PBE-GGA
State: relaxed

energy of formation = -0.926 eV/atom

a b c (Å): 4.2438 10.3873 7.1160
angles (deg): 90.00 90.00 90.00
Last column: nearest neighbours and their distance in Å.
Space group Cmcm (No. 63)
Symmetry-distinct sites (fractional):
Nd: 0.0000 0.0559 0.2500 x4  3 As 2.98-3.07, 8 Pt 3.14-3.23
As: 0.0000 0.2307 0.7500 x4  6 Pt 2.56-2.73
Pt: 0.0000 0.3637 0.0526 x8  3 As 2.56-2.73, 1 Pt 2.81

=====

# 7
Material: Nd2As2Pt
Method: DFT, PBE-GGA
State: relaxed

energy of formation = -1.178 eV/atom

a b c (Å): 11.2300 4.2883 10.8118
angles (deg): 90.00 114.50 90.00
Last column: nearest neighbours and their distance in Å.
Space group C2/m (No. 12)
Symmetry-distinct sites (fractional):
Nd: 0.0853 0.0000 0.3963 x4  4 As 2.98-3.14, 2 Pt 3.11
Nd: 0.1951 0.5000 0.1481 x4  7 As 3.13-3.40, 4 Pt 3.21-3.27
As: 0.0589 0.0000 0.9182 x4  2 Pt 2.45, 1 As 2.61
As: 0.1606 0.5000 0.6289 x4  1 Pt 2.57
Pt: 0.0750 0.5000 0.8161 x4  3 As 2.45-2.57

=====

# 8
Material: NdAsPt4
Method: DFT, PBE-GGA
State: relaxed

energy of formation = -0.658 eV/atom

a b c (Å): 4.0299 15.9042 6.8974
angles (deg): 90.00 90.00 90.00
Last column: nearest neighbours and their distance in Å.
Space group Cmcm (No. 63)
Symmetry-distinct sites (fractional):
Nd: 0.0000 0.1016 0.2500 x4  9 Pt 2.86-3.11
As: 0.0000 0.2406 0.7500 x4  7 Pt 2.44-2.66
Pt: 0.0000 0.0781 0.7500 x4  1 As 2.59, 1 Nd 2.86
Pt: 0.0000 0.3240 0.0462 x8  3 As 2.44-2.66
Pt: 0.0000 0.5000 0.0000 x4  6 Pt 2.82-2.93, 4 Nd 3.11

=====

# 9
Material: NdAs2Pt4
Method: DFT, PBE-GGA
State: relaxed

energy of formation = -0.648 eV/atom

a b c (Å): 7.9180 7.9180 4.0460
angles (deg): 90.00 90.00 90.00
Last column: nearest neighbours and their distance in Å.
Space group P4_2/mnm (No. 136)
Symmetry-distinct sites (fractional):
Nd: 0.0000 0.0000 0.0000 x2  6 As 3.13-3.21, 12 Pt 3.46
As: 0.2136 0.2136 0.5000 x4  6 Pt 2.57-2.63
Pt: 0.0930 0.6583 0.5000 x8  3 As 2.57-2.63, 1 Pt 2.78

=====

# 10
Material: NdAs3Pt3
Method: DFT, PBE-GGA
State: relaxed

energy of formation = -0.439 eV/atom

a b c (Å): 6.8550 6.8550 6.8550
angles (deg): 90.00 90.00 90.00
Last column: nearest neighbours and their distance in Å.
Space group Pm-3n (No. 223)
Symmetry-distinct sites (fractional):
Nd: 0.0000 0.0000 0.0000 x2  12 As 3.83, 12 Pt 3.83
As: 0.0000 0.2500 0.5000 x6  4 Pt 2.42
Pt: 0.0000 0.5000 0.2500 x6  4 As 2.42

=====

# 11
Material: Nd2PuAs4Pt3
Method: DFT, PBE-GGA
State: relaxed

energy of formation = -0.830 eV/atom

a b c (Å): 4.4588 4.4588 10.8667
angles (deg): 90.00 90.00 90.00
Last column: nearest neighbours and their distance in Å.
Space group P-4m2 (No. 115)
Symmetry-distinct sites (fractional):
Nd: 0.0000 0.5000 0.2252 x2  8 As 3.31-3.40, 5 Pt 3.38-3.67
Pu: 0.0000 0.0000 0.5000 x1  4 As 2.82, 4 Pt 3.15
As: 0.0000 0.0000 0.0000 x1  4 Pt 2.54
As: 0.0000 0.5000 0.6582 x2  1 Pt 2.49
As: 0.5000 0.5000 0.0000 x1  4 Pt 2.54
Pt: 0.0000 0.5000 0.8875 x2  5 As 2.49-2.54
Pt: 0.5000 0.5000 0.5000 x1  4 As 2.82, 4 Pu 3.15

=====

# 12
Material: Nd2As4Pt3Rh
Method: DFT, PBE-GGA
State: relaxed

energy of formation = -0.883 eV/atom

a b c (Å): 4.4132 4.4132 10.0207
angles (deg): 90.00 90.00 90.00
Last column: nearest neighbours and their distance in Å.
Space group P-4m2 (No. 115)
Symmetry-distinct sites (fractional):
Nd: 0.0000 0.5000 0.2476 x2  2 Rh 3.32, 6 Pt 3.32-3.38, 8 As 3.34-3.36
As: 0.0000 0.0000 0.5000 x1  4 Pt 2.53
As: 0.0000 0.5000 0.8705 x2  3 Pt 2.47-2.56, 2 Rh 2.56
As: 0.5000 0.5000 0.5000 x1  4 Pt 2.53
Pt: 0.0000 0.0000 0.0000 x1  4 As 2.56
Pt: 0.0000 0.5000 0.6239 x2  5 As 2.47-2.53
Rh: 0.5000 0.5000 0.0000 x1  4 As 2.56

=====

Taking the records one at a time from the top gives D(E_F) values of 0.143 0.137 0.144 0.187 0.187 0.538 0.650 0.522 0.414 0.452 1.494 0.505 states/eV/atom.
Taking the records one at a time from the top gives total magnetization values of 0.00 0.00 0.00 0.00 0.00 0.00 0.00 0.00 0.00 0.00 5.55 0.00 μB/cell.